The following is a DFT calculation (GGA+U) of crystalline ZrNiIO2 at its relaxed geometry.

**Total moment**: 1.062 μB/f.u.
**Relative energy among the computed polymorphs**: 0.000 eV/atom
**Volume**: 104 Å³/cell

Cell: 4.0584 4.0584 6.2952 Å, 90.00 90.00 90.00°
With the nearest neighbours (Å) after each atom.
Fractional positions:
Zr  0.0000  0.0000  0.0000  4 O 2.03
Ni  0.5000  0.5000  0.5000  4 I 2.87
I  0.0000  0.0000  0.5000  4 Ni 2.87, 2 Zr 3.15
O  0.0000  0.5000  0.0000  2 Zr 2.03
O  0.5000  0.0000  0.0000  2 Zr 2.03